VASP calculation (PBE) on a geometry-optimized RbCu2NiMo structure.

As for the symmetry: P4/mmm. The crystal system is tetragonal. The calculation puts the volume at 23.0 A^3/atom. For the density of states at the Fermi level, the calculation gives 0.907 states/eV per atom. For the total energy, the calculation gives -2.733 eV/atom. The calculation puts the total magnetization at 0.816 μB per atom. The value obtained for the calculated formation energy is 233.6 kJ/mol of atoms.

Cell: 5.023 4.550 5.023 Å, 90.00 90.00 90.00°
Last column: magnetic moment on the atom in μB.
Sites, in units of the cell vectors:
Ni (0.000, 0.500, 0.000)  0.16
Mo (0.500, 0.500, 0.500)  3.32
Cu (0.000, 0.000, 0.500)  0.00
Cu (0.500, 0.000, 0.000)  0.01
Rb (0.000, 0.000, 0.000)  -0.02